Record 1
Below is a relaxed structure of Y3PtBr, with properties calculated at the PBE level.

```
Y3PtBr
1.0
-2.147 2.871 4.176
1.784 -3.817 3.541
4.743 2.735 0.558
Y Br Pt
3 1 1
Direct
0.000 0.500 0.000 Y
0.000 0.000 0.500 Y
0.500 0.000 0.000 Y
0.500 0.500 0.500 Br
0.000 0.000 0.000 Pt
```

Computed properties:
Excess energy over the best structure of this formula in the dataset: 0.0 meV per atom
Formation energy (no corrections): -0.560 eV per atom
Space-group type: Pm-3m
Calculated total energy: -5.981 eV per atom
M_tot: 0.00 μB/f.u.
DOS at the Fermi energy: 0.15 states/eV/atom

---

Record 2
Below is a relaxed structure of AcSmHgPb, with properties calculated at the PBE level.

```
AcSmHgPb
1.0
-0.801 -2.346 -3.136
-0.582 -3.094 2.463
-7.613 1.867 0.547
Ac Sm Hg Pb
1 1 1 1
Direct
0.000 0.000 0.852 Ac
0.000 0.000 0.365 Sm
0.500 0.500 0.582 Hg
0.500 0.500 0.129 Pb
```

Computed properties:
Excess energy over the best structure of this formula in the dataset: 0.0 meV per atom
Space-group type: P4mm
Calculated total energy: -3.680 eV per atom
M_tot: 0.00 μB/f.u.
ΔE_f: -10.84 kcal/mol of atoms
DOS at the Fermi energy: 0.91 states/eV/atom

---

Record 3
Below is a relaxed structure of TbPuHg, with properties calculated at the PBE level.

```
TbPuHg
1.0
-1.742 2.621 1.144
-2.307 -0.496 -2.376
-6.215 -7.444 7.590
Pu Tb Hg
2 2 2
Direct
0.000 0.500 0.532 Pu
0.500 0.000 0.468 Pu
0.000 0.500 0.260 Tb
0.500 0.000 0.740 Tb
0.500 0.000 0.085 Hg
0.000 0.500 0.915 Hg
```

Computed properties:
Excess energy over the best structure of this formula in the dataset: 104.1 meV per atom
Space-group type: P4/nmm
Calculated total energy: -6.433 eV per atom
M_tot: 0.00 μB/f.u.
ΔE_f: -0.27 kcal/mol of atoms
DOS at the Fermi energy: 1.63 states/eV/atom

---

Record 4
Below is a relaxed structure of TbDy2Te, with properties calculated at the PBE level.

```
TbDy2Te
1.0
3.859 0.000 0.000
0.000 3.859 0.000
0.000 0.000 7.914
Te Tb Dy
1 1 2
Direct
0.500 0.500 0.000 Te
0.500 0.500 0.500 Tb
0.000 0.000 0.776 Dy
0.000 0.000 0.224 Dy
```

Computed properties:
Excess energy over the best structure of this formula in the dataset: 100.3 meV per atom
Formation energy (no corrections): -0.553 eV per atom
Space-group type: P4/mmm
Calculated total energy: -4.797 eV per atom
M_tot: 0.00 μB/f.u.
DOS at the Fermi energy: 1.20 states/eV/atom

---

Record 5
Below is a relaxed structure of Rb3Pm2CrSe6, with properties calculated at the PBE level.

```
Rb3Pm2CrSe6
1.0
-6.519 2.613 1.896
0.559 -6.653 -2.888
2.890 -1.734 7.634
Rb Pm Cr Se
3 2 1 6
Direct
0.172 0.828 0.500 Rb
0.828 0.172 0.500 Rb
0.500 0.500 0.500 Rb
0.334 0.666 0.000 Pm
0.666 0.334 0.000 Pm
0.000 0.000 0.000 Cr
0.937 0.633 0.811 Se
0.761 0.761 0.191 Se
0.063 0.367 0.189 Se
0.633 0.937 0.811 Se
0.239 0.239 0.809 Se
0.367 0.063 0.189 Se
```

Computed properties:
Formation energy (no corrections): -1.366 eV per atom
Space-group type: C2/m
Calculated total energy: -4.944 eV per atom
M_tot: 2.99 μB/f.u.

---

Record 6
Below is a relaxed structure of CaSmIn, with properties calculated at the PBE level.

```
CaSmIn
1.0
5.493 0.000 0.000
-2.746 4.758 0.000
0.000 0.000 6.930
Ca Sm In
2 2 2
Direct
0.000 0.500 0.000 Ca
0.000 0.500 0.500 Ca
0.667 0.833 0.750 Sm
0.333 0.167 0.250 Sm
0.333 0.167 0.750 In
0.667 0.833 0.250 In
```

Computed properties:
Excess energy over the best structure of this formula in the dataset: 0.0 meV per atom
Space-group type: P6_3/mmc
Calculated total energy: -3.564 eV per atom
M_tot: 0.00 μB/f.u.
ΔE_f: -9.48 kcal/mol of atoms
DOS at the Fermi energy: 0.35 states/eV/atom

---

Record 7
Below is a relaxed structure of Co2SiAu, with properties calculated at the PBE level.

```
Co2SiAu
1.0
3.558 0.000 0.000
0.000 3.765 0.000
0.000 0.000 3.765
Au Co Si
1 2 1
Direct
0.500 0.000 0.500 Au
0.000 0.000 0.000 Co
0.000 0.500 0.500 Co
0.500 0.500 0.000 Si
```

Computed properties:
Formation energy (no corrections): 0.011 eV per atom
Space-group type: P4/mmm
Calculated total energy: -5.717 eV per atom
M_tot: 1.15 μB/f.u.
DOS at the Fermi energy: 0.67 states/eV/atom

---

Record 8
Below is a relaxed structure of LaBeI2, with properties calculated at the PBE level.

```
LaBeI2
1.0
3.509 -3.892 1.809
-1.074 -2.730 4.704
-1.462 -5.345 -0.168
I Be La
2 1 1
Direct
0.250 0.250 0.250 I
0.750 0.750 0.750 I
0.000 0.000 0.000 Be
0.500 0.500 0.500 La
```

Computed properties:
Excess energy over the best structure of this formula in the dataset: 0.0 meV per atom
Formation energy (no corrections): -0.161 eV per atom
Space-group type: Fm-3m
Calculated total energy: -3.099 eV per atom
M_tot: 0.97 μB/f.u.
DOS at the Fermi energy: 0.95 states/eV/atom

---

Record 9
Below is a relaxed structure of Ac8PRh3Br3, with properties calculated at the PBE level.

```
Ac8PRh3Br3
1.0
-6.061 3.813 -5.215
-2.556 -5.412 6.536
3.339 8.473 2.312
Ac P Rh Br
8 1 3 3
Direct
0.266 0.532 0.298 Ac
0.734 0.468 0.702 Ac
0.759 0.519 0.297 Ac
0.241 0.481 0.703 Ac
0.759 0.037 0.297 Ac
0.241 0.963 0.703 Ac
0.278 0.037 0.297 Ac
0.722 0.963 0.703 Ac
0.000 0.000 0.500 P
0.500 0.000 0.500 Rh
0.500 0.500 0.500 Rh
0.000 0.500 0.500 Rh
0.000 0.000 0.000 Br
0.000 0.500 0.000 Br
0.500 0.500 0.000 Br
```

Computed properties:
Formation energy (no corrections): -1.035 eV per atom
Space-group type: R-3m
Calculated total energy: -5.391 eV per atom
M_tot: 0.00 μB/f.u.
DOS at the Fermi energy: 0.70 states/eV/atom

---

Record 10
Below is a relaxed structure of MnFeNiC, with properties calculated at the PBE level.

```
MnFeNiC
1.0
2.660 0.004 -0.002
-0.013 4.269 0.026
-1.322 -2.095 3.452
Ni C Mn Fe
1 1 1 1
Direct
0.156 0.159 0.816 Ni
0.644 0.812 0.792 C
0.341 0.842 0.188 Mn
0.971 0.485 0.448 Fe
```

Computed properties:
Excess energy over the best structure of this formula in the dataset: 54.5 meV per atom
Space-group type: P1
Calculated total energy: -7.979 eV per atom
M_tot: 1.05 μB/f.u.
ΔE_f: 4.17 kcal/mol of atoms
DOS at the Fermi energy: 0.78 states/eV/atom

---

Record 11
Below is a relaxed structure of NdGdNiSn, with properties calculated at the PBE level.

```
NdGdNiSn
1.0
5.210 0.000 0.000
2.605 4.512 0.000
2.605 1.504 4.254
Ni Gd Nd Sn
1 1 1 1
Direct
0.750 0.750 0.750 Ni
0.500 0.500 0.500 Gd
0.000 0.000 0.000 Nd
0.250 0.250 0.250 Sn
```

Computed properties:
Space-group type: F-43m
Calculated total energy: -7.557 eV per atom
M_tot: 7.31 μB/f.u.
ΔE_f: -9.19 kcal/mol of atoms
DOS at the Fermi energy: 0.85 states/eV/atom

---

Record 12
Below is a relaxed structure of BaNiAgI2, with properties calculated at the PBE level.

```
BaNiAgI2
1.0
5.633 0.000 0.000
0.000 5.633 0.000
0.000 0.000 6.436
I Ni Ba Ag
2 1 1 1
Direct
0.000 0.500 0.000 I
0.500 0.000 0.000 I
0.500 0.500 0.500 Ni
0.000 0.000 0.500 Ba
0.000 0.000 0.000 Ag
```

Computed properties:
Formation energy (no corrections): 0.249 eV per atom
Space-group type: P4/mmm
Calculated total energy: -2.482 eV per atom
M_tot: 1.15 μB/f.u.
DOS at the Fermi energy: 1.55 states/eV/atom

---

Record 13
Below is a relaxed structure of BeSb3Br, with properties calculated at the PBE level.

```
BeSb3Br
1.0
5.488 0.000 0.000
0.000 5.488 0.000
0.000 0.000 5.488
Sb Br Be
3 1 1
Direct
0.000 0.500 0.000 Sb
0.000 0.000 0.500 Sb
0.500 0.000 0.000 Sb
0.000 0.000 0.000 Br
0.500 0.500 0.500 Be
```

Computed properties:
Excess energy over the best structure of this formula in the dataset: 1044.2 meV per atom
Formation energy (no corrections): 1.463 eV per atom
Space-group type: Pm-3m
Calculated total energy: -2.090 eV per atom
M_tot: 0.00 μB/f.u.
DOS at the Fermi energy: 0.91 states/eV/atom

---

Record 14
Below is a relaxed structure of MgTcSnP, with properties calculated at the PBE level.

```
MgTcSnP
1.0
-1.838 0.700 2.500
1.407 -4.059 0.157
5.074 3.426 2.769
Mg Tc Sn P
1 1 1 1
Direct
0.315 0.807 0.647 Mg
0.998 0.175 0.973 Tc
0.526 0.229 0.315 Sn
0.698 0.577 0.945 P
```

Computed properties:
Excess energy over the best structure of this formula in the dataset: 122.6 meV per atom
Space-group type: P1
Calculated total energy: -5.483 eV per atom
M_tot: 0.00 μB/f.u.
ΔE_f: -3.23 kcal/mol of atoms
DOS at the Fermi energy: 0.52 states/eV/atom

---

Record 15
Below is a relaxed structure of NaTeH12C3O3, with properties calculated at the PBE level.

```
NaTeH12C3O3
1.0
4.328 6.862 2.845
-7.613 -2.015 3.451
6.245 -7.769 9.238
Na Te H C O
4 4 48 12 12
Direct
0.000 0.000 0.250 Na
0.000 0.000 0.000 Na
0.000 0.000 0.750 Na
0.000 0.000 0.500 Na
0.333 0.667 0.852 Te
0.667 0.333 0.148 Te
0.333 0.667 0.648 Te
0.667 0.333 0.352 Te
0.720 0.556 0.545 H
0.280 0.444 0.455 H
0.163 0.444 0.045 H
0.638 0.909 0.126 H
0.362 0.091 0.874 H
0.556 0.837 0.455 H
0.163 0.720 0.455 H
0.314 0.841 0.175 H
0.159 0.473 0.175 H
0.729 0.638 0.874 H
0.159 0.686 0.325 H
0.473 0.314 0.825 H
0.091 0.729 0.126 H
0.909 0.638 0.626 H
0.729 0.091 0.626 H
0.271 0.362 0.126 H
0.444 0.163 0.545 H
0.686 0.527 0.675 H
0.362 0.271 0.626 H
0.527 0.686 0.175 H
0.720 0.163 0.955 H
0.768 0.108 0.370 H
0.660 0.892 0.870 H
0.527 0.841 0.325 H
0.340 0.108 0.130 H
0.340 0.232 0.370 H
0.892 0.660 0.370 H
0.271 0.909 0.374 H
0.091 0.362 0.374 H
0.108 0.768 0.870 H
0.232 0.892 0.630 H
0.892 0.232 0.130 H
0.837 0.280 0.545 H
0.473 0.159 0.675 H
0.841 0.314 0.675 H
0.280 0.837 0.045 H
0.768 0.660 0.130 H
0.837 0.556 0.955 H
0.232 0.340 0.870 H
0.660 0.768 0.630 H
0.444 0.280 0.955 H
0.314 0.473 0.325 H
0.108 0.340 0.630 H
0.841 0.527 0.825 H
0.638 0.729 0.374 H
0.556 0.720 0.045 H
0.686 0.159 0.825 H
0.909 0.271 0.874 H
0.382 0.155 0.617 C
0.773 0.618 0.617 C
0.227 0.845 0.117 C
0.155 0.382 0.117 C
0.618 0.845 0.383 C
0.155 0.773 0.383 C
0.227 0.382 0.383 C
0.382 0.227 0.883 C
0.773 0.155 0.883 C
0.845 0.227 0.617 C
0.845 0.618 0.883 C
0.618 0.773 0.117 C
0.209 0.995 0.625 O
0.791 0.786 0.125 O
0.005 0.791 0.875 O
0.995 0.209 0.125 O
0.786 0.791 0.625 O
0.786 0.995 0.875 O
0.214 0.209 0.375 O
0.214 0.005 0.125 O
0.005 0.214 0.625 O
0.209 0.214 0.875 O
0.791 0.005 0.375 O
0.995 0.786 0.375 O
```

Computed properties:
Space-group type: P-31c
Calculated total energy: -4.892 eV per atom
M_tot: 0.00 μB/f.u.
DOS at the Fermi energy: 0.00 states/eV/atom

---

Record 16
Below is a relaxed structure of Nd4DyTm3Se8, with properties calculated at the PBE level.

```
Nd4DyTm3Se8
1.0
-1.912 6.542 4.451
-8.019 -0.717 -2.392
3.658 -6.376 3.498
Nd Dy Tm Se
4 1 3 8
Direct
0.500 0.000 0.000 Nd
0.500 0.000 0.500 Nd
0.000 0.000 0.000 Nd
0.000 0.000 0.500 Nd
0.000 0.500 0.000 Dy
0.500 0.500 0.000 Tm
0.500 0.500 0.500 Tm
0.000 0.500 0.500 Tm
0.245 0.731 0.986 Se
0.245 0.731 0.490 Se
0.257 0.271 0.514 Se
0.741 0.731 0.986 Se
0.259 0.269 0.014 Se
0.743 0.729 0.486 Se
0.755 0.269 0.510 Se
0.755 0.269 0.014 Se
```

Computed properties:
Formation energy (no corrections): -1.767 eV per atom
Space-group type: R-3m
Calculated total energy: -5.828 eV per atom
M_tot: 0.00 μB/f.u.
DOS at the Fermi energy: 0.52 states/eV/atom

---

Record 17
Below is a relaxed structure of BaCu2TcC, with properties calculated at the PBE level.

```
BaCu2TcC
1.0
5.280 0.000 0.000
0.000 4.603 0.000
0.000 0.000 5.280
C Ba Cu Tc
1 1 2 1
Direct
0.000 0.500 0.000 C
0.000 0.000 0.000 Ba
0.000 0.000 0.500 Cu
0.500 0.000 0.000 Cu
0.500 0.500 0.500 Tc
```

Computed properties:
Space-group type: P4/mmm
Calculated total energy: -3.256 eV per atom
M_tot: 3.16 μB/f.u.
ΔE_f: 61.92 kcal/mol of atoms
DOS at the Fermi energy: 0.70 states/eV/atom

---

Record 18
Below is a relaxed structure of Ba3LaAg, with properties calculated at the PBE level.

```
Ba3LaAg
1.0
6.419 0.000 0.000
0.000 6.419 0.000
0.000 0.000 6.419
Ba Ag La
3 1 1
Direct
0.000 0.500 0.000 Ba
0.000 0.000 0.500 Ba
0.500 0.000 0.000 Ba
0.500 0.500 0.500 Ag
0.000 0.000 0.000 La
```

Computed properties:
Excess energy over the best structure of this formula in the dataset: 482.9 meV per atom
Space-group type: Pm-3m
Calculated total energy: -2.044 eV per atom
M_tot: 0.75 μB/f.u.
ΔE_f: 15.34 kcal/mol of atoms
DOS at the Fermi energy: 1.30 states/eV/atom

---

Record 19
Below is a relaxed structure of NdDyHo2, with properties calculated at the PBE level.

```
NdDyHo2
1.0
-2.703 1.952 -1.274
-0.678 0.038 -3.504
-8.270 -8.393 -0.309
Nd Ho Dy
1 2 1
Direct
0.000 0.000 0.000 Nd
0.751 0.751 0.746 Ho
0.249 0.249 0.254 Ho
0.500 0.500 0.500 Dy
```

Computed properties:
Excess energy over the best structure of this formula in the dataset: 19.9 meV per atom
Space-group type: R-3m
Calculated total energy: -4.612 eV per atom
M_tot: 0.00 μB/f.u.
ΔE_f: 0.44 kcal/mol of atoms
DOS at the Fermi energy: 1.32 states/eV/atom

---

Record 20
Below is a relaxed structure of KPPbCl2, with properties calculated at the PBE level.

```
KPPbCl2
1.0
5.480 0.000 0.000
0.000 5.480 0.000
0.000 0.000 5.877
Pb P K Cl
1 1 1 2
Direct
0.500 0.500 0.500 Pb
0.000 0.000 0.500 P
0.000 0.000 0.000 K
0.000 0.500 0.000 Cl
0.500 0.000 0.000 Cl
```

Computed properties:
Excess energy over the best structure of this formula in the dataset: 562.4 meV per atom
Formation energy (no corrections): 0.042 eV per atom
Space-group type: P4/mmm
Calculated total energy: -2.740 eV per atom
M_tot: 2.00 μB/f.u.
DOS at the Fermi energy: 0.49 states/eV/atom

---

Record 21
Below is a relaxed structure of NaMg3In, with properties calculated at the PBE level.

```
NaMg3In
1.0
5.620 0.000 0.000
0.000 5.571 -2.932
0.000 0.717 8.122
Na Mg In
2 6 2
Direct
0.750 0.577 0.155 Na
0.250 0.423 0.845 Na
0.750 0.588 0.669 Mg
0.750 0.080 0.669 Mg
0.250 0.920 0.331 Mg
0.250 0.412 0.331 Mg
0.000 0.000 0.000 Mg
0.500 0.000 0.000 Mg
0.750 0.171 0.342 In
0.250 0.829 0.658 In
```

Computed properties:
Excess energy over the best structure of this formula in the dataset: 0.0 meV per atom
Space-group type: Cmcm
Calculated total energy: -1.758 eV per atom
M_tot: 0.00 μB/f.u.
ΔE_f: 0.24 kcal/mol of atoms
DOS at the Fermi energy: 0.27 states/eV/atom

---

Record 22
Below is a relaxed structure of InSBrCl2, with properties calculated at the PBE level.

```
InSBrCl2
1.0
5.105 0.000 0.000
0.000 5.105 0.000
0.000 0.000 5.413
S Cl Br In
1 2 1 1
Direct
0.000 0.000 0.500 S
0.000 0.500 0.000 Cl
0.500 0.000 0.000 Cl
0.500 0.500 0.500 Br
0.000 0.000 0.000 In
```

Computed properties:
Excess energy over the best structure of this formula in the dataset: 0.0 meV per atom
Formation energy (no corrections): -0.084 eV per atom
Space-group type: P4/mmm
Calculated total energy: -2.531 eV per atom
M_tot: 2.11 μB/f.u.
DOS at the Fermi energy: 0.88 states/eV/atom

---

Record 23
Below is a relaxed structure of ReSiBr2, with properties calculated at the PBE level.

```
ReSiBr2
1.0
3.148 0.000 0.000
0.000 3.148 0.000
0.000 0.000 8.411
Br Re Si
2 1 1
Direct
0.000 0.000 0.926 Br
0.500 0.500 0.333 Br
0.000 0.000 0.544 Re
0.500 0.500 0.697 Si
```

Computed properties:
Excess energy over the best structure of this formula in the dataset: 405.6 meV per atom
Formation energy (no corrections): 0.542 eV per atom
Space-group type: P4mm
Calculated total energy: -4.762 eV per atom
M_tot: 0.00 μB/f.u.
DOS at the Fermi energy: 0.52 states/eV/atom